(1)
Entry from the Alexandria database: a relaxed structure of Nd4Al2I5 (PBE).

Output
Space group   No. 12

Lattice parameters (Å, degrees): 4.235 8.891 12.513 87.55 99.74 90.00
Positions (direct):
I1 0.146 0.825 0.292
I2 0.791 0.684 0.581
I3 0.209 0.316 0.419
I4 0.854 0.175 0.708
I5 0.500 0.000 0.000
Nd1 0.978 0.285 0.956
Nd2 0.335 0.439 0.670
Nd3 0.665 0.561 0.330
Nd4 0.022 0.715 0.044
Al1 0.450 0.533 0.900
Al2 0.550 0.467 0.100

=====

(2)
Entry from the Alexandria database: a relaxed structure of NdAl2I8 (PBE).

Output
Space group   No. 12

Lattice parameters (Å, degrees): 7.356 9.102 9.102 75.79 82.71 82.71
Site moments in Bohr magnetons follow the coordinates.
Positions (direct):
Al1 0.345 0.197 0.197  0.04
Al2 0.655 0.803 0.803  0.04
I1 0.765 0.078 0.718  0.00
I2 0.292 0.809 0.809  0.02
I3 0.765 0.718 0.078  0.00
I4 0.798 0.631 0.631  0.02
I5 0.202 0.369 0.369  0.02
I6 0.235 0.282 0.922  0.00
I7 0.708 0.191 0.191  0.02
I8 0.235 0.922 0.282  0.00
Nd1 0.000 0.000 0.000  0.30

=====

(3)
Entry from the Alexandria database: a relaxed structure of Nd2AlI (PBE).

Output
Space group   No. 123
Offset from the most stable computed form   7 meV per atom

Lattice parameters (Å, degrees): 3.663 3.663 8.634 90.00 90.00 90.00
Positions (direct):
Al1 0.500 0.500 0.000
Nd1 0.000 0.000 0.777
Nd2 0.000 0.000 0.223
I1 0.500 0.500 0.500

=====

Across the entries above, uncorrected formation energy takes the values -849; -812; -578 meV/atom, respectively.
Across the entries above, volume takes the values 42.2; 53.0; 29.0 A^3/atom, respectively.
Across the entries above, calculated total energy takes the values -3.968; -3.053; -4.285 eV/atom, respectively.